# 1
Density functional theory data (PBEsol) for a relaxed Li3B3H16N2 crystal.

Crystal system   monoclinic

a = 6.8105 Å, b = 7.2730 Å, c = 7.6392 Å
α = 95.03°, β = 90.00°, γ = 90.00°
With the nearest neighbours (Å) after each atom.
Sites, in units of the cell vectors:
H: 0.9687 0.4590 0.4868  1 B 1.23
N: 0.5313 0.9589 0.7218  2 H 1.03
H: 0.9844 0.5714 0.8572  1 B 1.24
N: 0.6316 0.8139 0.8029  2 H 1.03
H: 0.8299 0.7030 0.5033  1 B 1.24
B: 0.0184 0.1358 0.7446  4 H 1.23
H: 0.3826 0.9562 0.7488  1 N 1.03
H: 0.1258 0.6980 0.4911  1 B 1.23
H: 0.8826 0.0438 0.2512  1 N 1.03
H: 0.1213 0.1553 0.0630  1 N 1.03
H: 0.4844 0.4286 0.1428  1 B 1.24
Li: 0.4228 0.1914 0.2603  5 H 1.96-2.12, 1 N 2.04
H: 0.9088 0.0833 0.8582  1 B 1.23
H: 0.5570 0.6907 0.7778  1 N 1.03
H: 0.2477 0.6837 0.8008  1 B 1.23
N: 0.0313 0.0411 0.2782  2 H 1.03
N: 0.1316 0.1861 0.1971  2 H 1.03
H: 0.5669 0.1855 0.0261  1 B 1.23
H: 0.0570 0.3093 0.2222  1 N 1.03
H: 0.6258 0.3020 0.5089  1 B 1.23
H: 0.4088 0.9167 0.1418  1 B 1.23
Li: 0.1610 0.7863 0.2205  5 H 1.98-2.08, 1 N 2.07
B: 0.4747 0.3827 0.5573  4 H 1.23-1.24
H: 0.4612 0.3948 0.7187  1 B 1.23
H: 0.4687 0.5410 0.5132  1 B 1.23
H: 0.5787 0.9956 0.3532  1 B 1.23
H: 0.7031 0.4229 0.9686  1 B 1.22
Li: 0.6577 0.5626 0.3222  7 H 1.96-2.12
B: 0.6272 0.3389 0.0828  4 H 1.22-1.24
Li: 0.1577 0.4374 0.6778  7 H 1.96-2.12
H: 0.7477 0.3163 0.1992  1 B 1.23
H: 0.6603 0.7870 0.1824  1 B 1.23
H: 0.6213 0.8447 0.9370  1 N 1.03
H: 0.0428 0.0701 0.4124  1 N 1.03
H: 0.0669 0.8145 0.9739  1 B 1.23
B: 0.1272 0.6611 0.9172  4 H 1.22-1.24
H: 0.4292 0.7581 0.3449  1 B 1.23
H: 0.5428 0.9299 0.5876  1 N 1.03
H: 0.9292 0.2419 0.6551  1 B 1.23
H: 0.0787 0.0044 0.6468  1 B 1.23
H: 0.1603 0.2130 0.8176  1 B 1.23
Li: 0.6610 0.2137 0.7795  5 H 1.98-2.08, 1 N 2.07
H: 0.3299 0.2970 0.4967  1 B 1.24
B: 0.5184 0.8642 0.2554  4 H 1.23
H: 0.2031 0.5771 0.0314  1 B 1.22
H: 0.9612 0.6052 0.2813  1 B 1.23
Li: 0.9228 0.8086 0.7397  5 H 1.96-2.12, 1 N 2.04
B: 0.9747 0.6173 0.4427  4 H 1.23-1.24

***

# 2
Density functional theory data (PBEsol) for a relaxed KIn3Ge crystal.

Crystal system   cubic
Energy of formation   0.194 eV/atom

a = 5.4531 Å, b = 5.4531 Å, c = 5.4531 Å
α = 90.00°, β = 90.00°, γ = 90.00°
With the nearest neighbours (Å) after each atom.
Sites, in units of the cell vectors:
In: 0.0000 0.0000 0.5000  2 Ge 2.73
K: 0.5000 0.5000 0.5000  12 In 3.86
In: 0.5000 0.0000 0.0000  2 Ge 2.73
Ge: 0.0000 0.0000 0.0000  6 In 2.73
In: 0.0000 0.5000 0.0000  2 Ge 2.73

***

# 3
Density functional theory data (PBEsol) for a relaxed Co4NiP crystal.

Crystal system   cubic
Energy of formation   0.357 eV/atom

a = 4.5470 Å, b = 4.5470 Å, c = 4.5470 Å
α = 60.00°, β = 60.00°, γ = 60.00°
With the nearest neighbours (Å) after each atom.
Sites, in units of the cell vectors:
Co: 0.3753 0.3753 0.3753  6 Co 2.27-2.28
Co: 0.3753 0.3753 0.8742  6 Co 2.27-2.28
Co: 0.8742 0.3753 0.3753  6 Co 2.27-2.28
Ni: 0.7500 0.7500 0.7500  12 Co 2.67, 4 P 2.78
Co: 0.3753 0.8742 0.3753  6 Co 2.27-2.28
P: 0.0000 0.0000 0.0000  12 Co 2.67, 4 Ni 2.78

***

Taking the records one at a time from the top gives uncorrected energy values of -4.3292; -2.8098; -6.7927 eV/atom.
Taking the records one at a time from the top gives density values of 0.86; 4.67; 8.13 g/cm3.